1.
Computed, not measured: Li2TeWO6 at its PBEsol-relaxed geometry at the SCAN level of DFT.

Cell lengths 5.3454, 12.8782, 8.4959 Å; angles 90.00, 125.33, 90.00 degrees
With the nearest neighbours (Å) after each atom.
Fractional coordinates of all 40 atoms:
Li1 0.0497 0.0692 0.2395  4 O 1.92-2.08
Li2 0.0497 0.4308 0.7395  4 O 1.92-2.08
Li3 0.2665 0.1510 0.0249  4 O 1.94-2.11
Li4 0.2665 0.3490 0.5249  4 O 1.94-2.11
Li5 0.7335 0.6510 0.4751  4 O 1.94-2.11
Li6 0.7335 0.8490 0.9751  4 O 1.94-2.11
Li7 0.9503 0.5692 0.2605  4 O 1.92-2.08
Li8 0.9503 0.9308 0.7605  4 O 1.92-2.08
Te1 0.1849 0.7004 0.9324  3 O 1.91-1.97
Te2 0.1849 0.7996 0.4324  3 O 1.91-1.97
Te3 0.8151 0.2004 0.5676  3 O 1.91-1.97
Te4 0.8151 0.2996 0.0676  3 O 1.91-1.97
W1 0.4771 0.0954 0.7588  3 O 1.78-1.83
W2 0.4771 0.4046 0.2588  3 O 1.78-1.83
W3 0.5229 0.5954 0.7412  3 O 1.78-1.83
W4 0.5229 0.9046 0.2412  3 O 1.78-1.83
O1 0.1314 0.0572 0.7411  1 W 1.83, 1 Li 1.95
O2 0.1314 0.4428 0.2411  1 W 1.83, 1 Li 1.95
O3 0.1831 0.6945 0.7009  1 Te 1.96, 1 W 2.08, 1 Li 2.11
O4 0.1831 0.8055 0.2009  1 Te 1.96, 1 W 2.08, 1 Li 2.11
O5 0.2275 0.2483 0.6955  1 Te 1.91, 1 Li 2.04
O6 0.2275 0.2517 0.1955  1 Te 1.91, 1 Li 2.04
O7 0.3100 0.0224 0.1571  1 W 1.78, 2 Li 1.94-1.98
O8 0.3100 0.4776 0.6571  1 W 1.78, 2 Li 1.94-1.98
O9 0.3311 0.6554 0.4663  1 Te 1.97, 2 Li 2.08-2.11, 1 W 2.08
O10 0.3311 0.8446 0.9663  1 Te 1.97, 2 Li 2.08-2.11, 1 W 2.08
O11 0.3383 0.0980 0.5103  1 W 1.79, 1 Li 1.92
O12 0.3383 0.4020 0.0103  1 W 1.79, 1 Li 1.92
O13 0.6617 0.5980 0.9897  1 W 1.79, 1 Li 1.92
O14 0.6617 0.9020 0.4897  1 W 1.79, 1 Li 1.92
O15 0.6689 0.1554 0.0337  1 Te 1.97, 2 Li 2.08-2.11, 1 W 2.08
O16 0.6689 0.3446 0.5337  1 Te 1.97, 2 Li 2.08-2.11, 1 W 2.08
O17 0.6900 0.5224 0.3429  1 W 1.78, 2 Li 1.94-1.98
O18 0.6900 0.9776 0.8429  1 W 1.78, 2 Li 1.94-1.98
O19 0.7725 0.7483 0.8045  1 Te 1.91, 1 Li 2.04
O20 0.7725 0.7517 0.3045  1 Te 1.91, 1 Li 2.04
O21 0.8169 0.1945 0.7991  1 Te 1.96, 1 W 2.08, 1 Li 2.11
O22 0.8169 0.3055 0.2991  1 Te 1.96, 1 W 2.08, 1 Li 2.11
O23 0.8686 0.5572 0.7589  1 W 1.83, 1 Li 1.95
O24 0.8686 0.9428 0.2589  1 W 1.83, 1 Li 1.95

**Raw formation energy**: -2006 meV/atom



2.
Computed, not measured: Li3Y3Te2O12 at its PBEsol-relaxed geometry at the SCAN level of DFT.

Cell lengths 10.6131, 10.6131, 10.6131 Å; angles 109.47, 109.47, 109.47 degrees
With the nearest neighbours (Å) after each atom.
Fractional coordinates of all 80 atoms:
Li1 0.1250 0.7500 0.8750  4 O 1.87
Li2 0.1250 0.8750 0.2500  4 O 1.87
Li3 0.2500 0.1250 0.8750  4 O 1.87
Li4 0.2500 0.6250 0.3750  4 O 1.87
Li5 0.3750 0.2500 0.6250  4 O 1.87
Li6 0.3750 0.6250 0.7500  4 O 1.87
Li7 0.6250 0.3750 0.2500  4 O 1.87
Li8 0.6250 0.7500 0.3750  4 O 1.87
Li9 0.7500 0.3750 0.6250  4 O 1.87
Li10 0.7500 0.8750 0.1250  4 O 1.87
Li11 0.8750 0.1250 0.7500  4 O 1.87
Li12 0.8750 0.2500 0.1250  4 O 1.87
Y1 0.1250 0.2500 0.3750  8 O 2.34-2.44
Y2 0.1250 0.3750 0.7500  8 O 2.34-2.44
Y3 0.2500 0.3750 0.1250  8 O 2.34-2.44
Y4 0.2500 0.8750 0.6250  8 O 2.34-2.44
Y5 0.3750 0.1250 0.2500  8 O 2.34-2.44
Y6 0.3750 0.7500 0.1250  8 O 2.34-2.44
Y7 0.6250 0.2500 0.8750  8 O 2.34-2.44
Y8 0.6250 0.8750 0.7500  8 O 2.34-2.44
Y9 0.7500 0.1250 0.3750  8 O 2.34-2.44
Y10 0.7500 0.6250 0.8750  8 O 2.34-2.44
Y11 0.8750 0.6250 0.2500  8 O 2.34-2.44
Y12 0.8750 0.7500 0.6250  8 O 2.34-2.44
Te1 0.0000 0.0000 0.0000  6 O 1.94
Te2 0.0000 0.0000 0.5000  6 O 1.94
Te3 0.0000 0.5000 0.0000  6 O 1.94
Te4 0.0000 0.5000 0.5000  6 O 1.94
Te5 0.5000 0.0000 0.0000  6 O 1.94
Te6 0.5000 0.0000 0.5000  6 O 1.94
Te7 0.5000 0.5000 0.0000  6 O 1.94
Te8 0.5000 0.5000 0.5000  6 O 1.94
O1 0.0278 0.2005 0.1207  1 Li 1.87, 1 Te 1.94
O2 0.0278 0.3273 0.9071  1 Li 1.87, 1 Te 1.94
O3 0.0799 0.7005 0.6727  1 Li 1.87, 1 Te 1.94
O4 0.0799 0.8793 0.4071  1 Li 1.87, 1 Te 1.94
O5 0.0929 0.6207 0.4201  1 Li 1.87, 1 Te 1.94
O6 0.0929 0.9722 0.6727  1 Li 1.87, 1 Te 1.94
O7 0.1207 0.0278 0.2005  1 Li 1.87, 1 Te 1.94
O8 0.1207 0.5929 0.9201  1 Li 1.87, 1 Te 1.94
O9 0.1727 0.2005 0.5799  1 Li 1.87, 1 Te 1.94
O10 0.1727 0.4722 0.5929  1 Li 1.87, 1 Te 1.94
O11 0.2005 0.1207 0.0278  1 Li 1.87, 1 Te 1.94
O12 0.2005 0.5799 0.1727  1 Li 1.87, 1 Te 1.94
O13 0.2995 0.3273 0.9201  1 Li 1.87, 1 Te 1.94
O14 0.2995 0.4722 0.3793  1 Li 1.87, 1 Te 1.94
O15 0.3273 0.9071 0.0278  1 Li 1.87, 1 Te 1.94
O16 0.3273 0.9201 0.2995  1 Li 1.87, 1 Te 1.94
O17 0.3793 0.2995 0.4722  1 Li 1.87, 1 Te 1.94
O18 0.3793 0.5799 0.9071  1 Li 1.87, 1 Te 1.94
O19 0.4071 0.0799 0.8793  1 Li 1.87, 1 Te 1.94
O20 0.4071 0.8273 0.5278  1 Li 1.87, 1 Te 1.94
O21 0.4201 0.0929 0.6207  1 Li 1.87, 1 Te 1.94
O22 0.4201 0.8273 0.7995  1 Li 1.87, 1 Te 1.94
O23 0.4722 0.3793 0.2995  1 Li 1.87, 1 Te 1.94
O24 0.4722 0.5929 0.1727  1 Li 1.87, 1 Te 1.94
O25 0.5278 0.4071 0.8273  1 Li 1.87, 1 Te 1.94
O26 0.5278 0.6207 0.7005  1 Li 1.87, 1 Te 1.94
O27 0.5799 0.1727 0.2005  1 Li 1.87, 1 Te 1.94
O28 0.5799 0.9071 0.3793  1 Li 1.87, 1 Te 1.94
O29 0.5929 0.1727 0.4722  1 Li 1.87, 1 Te 1.94
O30 0.5929 0.9201 0.1207  1 Li 1.87, 1 Te 1.94
O31 0.6207 0.4201 0.0929  1 Li 1.87, 1 Te 1.94
O32 0.6207 0.7005 0.5278  1 Li 1.87, 1 Te 1.94
O33 0.6727 0.0799 0.7005  1 Li 1.87, 1 Te 1.94
O34 0.6727 0.0929 0.9722  1 Li 1.87, 1 Te 1.94
O35 0.7005 0.5278 0.6207  1 Li 1.87, 1 Te 1.94
O36 0.7005 0.6727 0.0799  1 Li 1.87, 1 Te 1.94
O37 0.7995 0.4201 0.8273  1 Li 1.87, 1 Te 1.94
O38 0.7995 0.8793 0.9722  1 Li 1.87, 1 Te 1.94
O39 0.8273 0.5278 0.4071  1 Li 1.87, 1 Te 1.94
O40 0.8273 0.7995 0.4201  1 Li 1.87, 1 Te 1.94
O41 0.8793 0.4071 0.0799  1 Li 1.87, 1 Te 1.94
O42 0.8793 0.9722 0.7995  1 Li 1.87, 1 Te 1.94
O43 0.9071 0.0278 0.3273  1 Li 1.87, 1 Te 1.94
O44 0.9071 0.3793 0.5799  1 Li 1.87, 1 Te 1.94
O45 0.9201 0.1207 0.5929  1 Li 1.87, 1 Te 1.94
O46 0.9201 0.2995 0.3273  1 Li 1.87, 1 Te 1.94
O47 0.9722 0.6727 0.0929  1 Li 1.87, 1 Te 1.94
O48 0.9722 0.7995 0.8793  1 Li 1.87, 1 Te 1.94

**Raw formation energy**: -2610 meV/atom



3.
Computed, not measured: Li3Ti6O13 at its PBEsol-relaxed geometry at the SCAN level of DFT.

Cell lengths 6.2671, 6.2671, 10.3623 Å; angles 100.15, 100.15, 36.57 degrees
With the nearest neighbours (Å) after each atom.
Fractional coordinates of all 22 atoms:
Li1 0.0000 0.0000 0.0000  4 O 1.97-2.03
Li2 0.0696 0.0696 0.4145  5 O 1.96-2.06
Li3 0.9304 0.9304 0.5855  5 O 1.96-2.06
Ti1 0.2814 0.2814 0.6392  1 O 1.72
Ti2 0.3417 0.3417 0.0010  6 O 1.89-2.03
Ti3 0.4016 0.4016 0.3611  1 O 1.73
Ti4 0.5984 0.5984 0.6389  1 O 1.73
Ti5 0.6583 0.6583 0.9990  6 O 1.89-2.03
Ti6 0.7186 0.7186 0.3608  1 O 1.72
O1 0.1061 0.1061 0.6073  2 Li 1.96-2.06, 3 Ti 2.00-2.05
O2 0.1707 0.1707 0.0004  3 Ti 1.97-2.03, 1 Li 2.03
O3 0.2381 0.2381 0.4008  3 Ti 2.01-2.06, 1 Li 2.04
O4 0.3158 0.3158 0.8077  1 Ti 1.72
O5 0.3777 0.3777 0.1913  1 Ti 1.73
O6 0.4323 0.4323 0.5914  2 Ti 1.95, 2 Li 1.97
O7 0.5000 0.5000 0.0000  2 Ti 1.89, 2 Li 1.97
O8 0.5677 0.5677 0.4086  2 Ti 1.95, 2 Li 1.97
O9 0.6223 0.6223 0.8087  1 Ti 1.73
O10 0.6842 0.6842 0.1923  1 Ti 1.72
O11 0.7619 0.7619 0.5992  3 Ti 2.01-2.06, 1 Li 2.04
O12 0.8293 0.8293 0.9996  3 Ti 1.97-2.03, 1 Li 2.03
O13 0.8939 0.8939 0.3927  2 Li 1.96-2.06, 3 Ti 2.00-2.05

**Raw formation energy**: -3063 meV/atom



4.
Computed, not measured: Li7Ti5O12 at its PBEsol-relaxed geometry at the SCAN level of DFT.

Cell lengths 5.0107, 5.0107, 9.8192 Å; angles 94.88, 94.88, 120.00 degrees
With the nearest neighbours (Å) after each atom.
Fractional coordinates of all 24 atoms:
Li1 0.0000 0.0000 0.0000  6 O 2.08
Li2 0.0812 0.4069 0.2440  6 O 2.04-2.14
Li3 0.2444 0.2444 0.7562  6 O 2.04-2.14
Li4 0.4069 0.0812 0.2440  6 O 2.04-2.14
Li5 0.5931 0.9188 0.7560  6 O 2.04-2.14
Li6 0.7556 0.7556 0.2438  6 O 2.04-2.14
Li7 0.9188 0.5931 0.7560  6 O 2.04-2.14
Ti1 0.1666 0.8334 0.5000  6 O 2.04-2.05
Ti2 0.3333 0.6667 0.0000  6 O 1.96
Ti3 0.5000 0.5000 0.5000  6 O 2.04-2.05
Ti4 0.6667 0.3333 0.0000  6 O 1.96
Ti5 0.8334 0.1666 0.5000  6 O 2.04-2.05
O1 0.0379 0.6848 0.1137  2 Ti 1.96, 4 Li 2.04-2.12
O2 0.1260 0.1260 0.3773  3 Ti 2.05, 3 Li 2.08
O3 0.2069 0.5404 0.6206  3 Ti 2.04, 3 Li 2.14
O4 0.3152 0.9621 0.8863  2 Ti 1.96, 4 Li 2.04-2.12
O5 0.3909 0.3909 0.1137  2 Ti 1.96, 4 Li 2.04-2.12
O6 0.4596 0.7931 0.3794  3 Ti 2.04, 3 Li 2.14
O7 0.5404 0.2069 0.6206  3 Ti 2.04, 3 Li 2.14
O8 0.6091 0.6091 0.8863  2 Ti 1.96, 4 Li 2.04-2.12
O9 0.6848 0.0379 0.1137  2 Ti 1.96, 4 Li 2.04-2.12
O10 0.7931 0.4596 0.3794  3 Ti 2.04, 3 Li 2.14
O11 0.8740 0.8740 0.6227  3 Ti 2.05, 3 Li 2.08
O12 0.9621 0.3152 0.8863  2 Ti 1.96, 4 Li 2.04-2.12

**Raw formation energy**: -2871 meV/atom



Number 1: D(E_F) 0.000 states/eV/atom, volume 119 Å³/f.u., size of the total moment 0.00 μB per atom. Number 2: D(E_F) 0.000 states/eV/atom, volume 230 Å³/f.u., size of the total moment 0.00 μB per atom. Number 3: D(E_F) 0.133 states/eV/atom, volume 238 Å³/f.u., size of the total moment 0.00 μB per atom. Number 4: D(E_F) 0.251 states/eV/atom, volume 210 Å³/f.u., size of the total moment 0.00 μB per atom.